# 1
CuSnMoW (PBE, relaxed); crystal system = cubic; energy above the most stable polymorph in this dataset = 0 meV per atom
1.0
0.000 3.198 3.198
3.198 0.000 3.198
3.198 3.198 0.000
Cu Sn Mo W
1 1 1 1
direct
0.000 0.000 0.000
0.750 0.750 0.750
0.500 0.500 0.500
0.250 0.250 0.250

# 2
YCuSnMo (PBE, relaxed); crystal system = cubic; energy above the most stable polymorph in this dataset = 304 meV per atom
1.0
0.000 3.430 3.430
3.430 0.000 3.430
3.430 3.430 0.000
Y Cu Sn Mo
1 1 1 1
direct
0.000 0.000 0.000
0.500 0.500 0.500
0.250 0.250 0.250
0.750 0.750 0.750

# 3
YCuSnMo (PBE, relaxed); crystal system = cubic; energy above the most stable polymorph in this dataset = 0 meV per atom
1.0
0.000 3.375 3.375
3.375 0.000 3.375
3.375 3.375 0.000
Y Cu Sn Mo
1 1 1 1
direct
0.000 0.000 0.000
0.750 0.750 0.750
0.500 0.500 0.500
0.250 0.250 0.250

# 4
ZnCuSnMo (PBE, relaxed); crystal system = cubic; energy above the most stable polymorph in this dataset = 0 meV per atom
1.0
0.000 3.184 3.184
3.184 0.000 3.184
3.184 3.184 0.000
Zn Cu Sn Mo
1 1 1 1
direct
0.000 0.000 0.000
0.750 0.750 0.750
0.500 0.500 0.500
0.250 0.250 0.250

# 5
ZnCuSnMo (PBE, relaxed); crystal system = cubic; energy above the most stable polymorph in this dataset = 153 meV per atom
1.0
0.000 3.205 3.205
3.205 0.000 3.205
3.205 3.205 0.000
Zn Cu Sn Mo
1 1 1 1
direct
0.000 0.000 0.000
0.500 0.500 0.500
0.250 0.250 0.250
0.750 0.750 0.750

# 6
TaCu2Mo2 (PBE, relaxed); crystal system = hexagonal; ΔE_f = 0.762 eV per atom
1.0
4.375 0.000 0.000
-2.187 3.789 0.000
0.000 0.000 9.836
Ta Cu Mo
2 4 4
direct
0.000 0.000 0.250
0.000 0.000 0.750
0.333 0.667 0.085
0.333 0.667 0.415
0.667 0.333 0.585
0.667 0.333 0.915
0.000 0.000 0.000
0.000 0.000 0.500
0.333 0.667 0.750
0.667 0.333 0.250

# 7
TaCu6Mo (PBE, relaxed); crystal system = orthorhombic; ΔE_f = 0.234 eV per atom
1.0
4.265 0.000 0.000
0.000 5.456 0.000
0.000 0.000 4.452
Ta Cu Mo
1 6 1
direct
0.000 0.000 0.000
0.000 0.256 0.506
0.000 0.500 0.023
0.000 0.744 0.506
0.500 0.000 0.655
0.500 0.252 0.182
0.500 0.748 0.182
0.500 0.500 0.690

# 8
TaTlCuMo (PBE, relaxed); crystal system = cubic; energy above the most stable polymorph in this dataset = 0 meV per atom
1.0
0.000 3.263 3.263
3.263 0.000 3.263
3.263 3.263 0.000
Ta Tl Cu Mo
1 1 1 1
direct
0.000 0.000 0.000
0.500 0.500 0.500
0.750 0.750 0.750
0.250 0.250 0.250

# 9
TaZnCuMo (PBE, relaxed); crystal system = cubic; ΔE_f = 0.300 eV per atom; energy above the most stable polymorph in this dataset = 0 meV per atom
1.0
0.000 3.132 3.132
3.132 0.000 3.132
3.132 3.132 0.000
Ta Zn Cu Mo
1 1 1 1
direct
0.000 0.000 0.000
0.500 0.500 0.500
0.750 0.750 0.750
0.250 0.250 0.250

# 10
ZrCuTcMo (PBE, relaxed); crystal system = cubic; ΔE_f = 0.025 eV per atom; energy above the most stable polymorph in this dataset = 0 meV per atom
1.0
0.000 3.179 3.179
3.179 0.000 3.179
3.179 3.179 0.000
Zr Cu Tc Mo
1 1 1 1
direct
0.000 0.000 0.000
0.250 0.250 0.250
0.750 0.750 0.750
0.500 0.500 0.500

# 11
ZrCuTcMo (PBE, relaxed); crystal system = cubic; ΔE_f = 0.051 eV per atom; energy above the most stable polymorph in this dataset = 26 meV per atom
1.0
0.000 3.164 3.164
3.164 0.000 3.164
3.164 3.164 0.000
Zr Cu Tc Mo
1 1 1 1
direct
0.000 0.000 0.000
0.250 0.250 0.250
0.500 0.500 0.500
0.750 0.750 0.750

# 12
TlCu3Te4Mo (PBE, relaxed); crystal system = cubic; energy = -0.1472 hartree per atom
1.0
6.468 0.000 0.000
0.000 6.468 0.000
0.000 0.000 6.468
Tl Cu Te Mo
1 3 4 1
direct
0.000 0.000 0.000
0.000 0.500 0.500
0.500 0.000 0.500
0.500 0.500 0.000
0.269 0.269 0.269
0.269 0.731 0.731
0.731 0.269 0.731
0.731 0.731 0.269
0.500 0.500 0.500

# 13
TlCuMoW (PBE, relaxed); crystal system = cubic; energy above the most stable polymorph in this dataset = 0 meV per atom
1.0
0.000 3.221 3.221
3.221 0.000 3.221
3.221 3.221 0.000
Tl Cu Mo W
1 1 1 1
direct
0.000 0.000 0.000
0.250 0.250 0.250
0.750 0.750 0.750
0.500 0.500 0.500

# 14
YTlCuMo (PBE, relaxed); crystal system = cubic; energy above the most stable polymorph in this dataset = 0 meV per atom
1.0
0.000 3.427 3.427
3.427 0.000 3.427
3.427 3.427 0.000
Y Tl Cu Mo
1 1 1 1
direct
0.000 0.000 0.000
0.500 0.500 0.500
0.750 0.750 0.750
0.250 0.250 0.250